1.
This record from Alexandria describes crystalline InGa3I8 at its relaxed geometry. The functional is PBE-GGA.

a b c (Å): 7.686 7.686 10.453
angles (deg): 91.33 91.33 69.20
Fractional positions:
1 Ga 0.626 0.626 0.262
2 I 0.739 0.261 0.737
3 I 0.259 0.259 0.532
4 In 0.000 0.000 0.000
5 Ga 0.000 0.000 0.500
6 I 0.727 0.727 0.052
7 Ga 0.374 0.374 0.738
8 I 0.261 0.739 0.263
9 I 0.273 0.273 0.948
10 I 0.261 0.739 0.737
11 I 0.739 0.261 0.263
12 I 0.741 0.741 0.468

Summary:
- spin magnetization (μB per formula unit) = 0.0
- SG = No. 12
- energy relative to the elements, uncorrected (eV/atom) = -0.46



2.
This record from Alexandria describes crystalline In2Ga2I7 at its relaxed geometry. The functional is PBE-GGA.

a b c (Å): 7.339 8.778 8.778
angles (deg): 99.17 96.83 96.83
Fractional positions:
1 I 0.500 0.000 0.000
2 Ga 0.422 0.228 0.228
3 I 0.257 0.615 0.615
4 I 0.232 0.424 0.098
5 In 0.000 0.296 0.704
6 In 0.000 0.704 0.296
7 I 0.768 0.576 0.902
8 Ga 0.578 0.772 0.772
9 I 0.768 0.902 0.576
10 I 0.232 0.098 0.424
11 I 0.743 0.385 0.385

Summary:
- distance to the lowest polymorph of the same formula (meV per atom) = 3
- spin magnetization (μB per formula unit) = 0.0
- SG = No. 12
- energy relative to the elements, uncorrected (eV/atom) = -0.41



3.
This record from Alexandria describes crystalline In2Ga2I7 at its relaxed geometry. The functional is PBE-GGA.

a b c (Å): 7.174 8.998 17.226
angles (deg): 90.00 90.00 98.68
Fractional positions:
1 I 0.556 0.462 0.825
2 I 0.000 0.500 0.000
3 I 0.913 0.743 0.277
4 In 0.623 0.431 0.345
5 In 0.377 0.069 0.845
6 I 0.913 0.243 0.223
7 I 0.556 0.962 0.675
8 I 0.303 0.613 0.446
9 I 0.444 0.538 0.175
10 Ga 0.163 0.847 0.387
11 In 0.377 0.569 0.655
12 I 0.087 0.257 0.723
13 Ga 0.837 0.653 0.887
14 I 0.444 0.038 0.325
15 I 0.303 0.113 0.054
16 In 0.623 0.931 0.155
17 Ga 0.837 0.153 0.613
18 I 0.000 0.000 0.500
19 I 0.697 0.387 0.554
20 Ga 0.163 0.347 0.113
21 I 0.087 0.757 0.777
22 I 0.697 0.887 0.946

Summary:
- distance to the lowest polymorph of the same formula (meV per atom) = 0
- spin magnetization (μB per formula unit) = 0.0
- SG = No. 14
- energy relative to the elements, uncorrected (eV/atom) = -0.41



> The lowest energy relative to the elements, uncorrected belongs to which entry?

InGa3I8